# 1
A plane-wave DFT calculation with PBE-GGA was carried out for a geometry-optimized Ca2GaNi4Sn3 structure.

Properties
DFT total energy   -46.20 eV for the cell shown
Size of the total moment   0.00 μB per cell

CIF file:
```
data_Ca2GaNi4Sn3
_cell_length_a 4.4219
_cell_length_b 4.4219
_cell_length_c 9.9683
_cell_angle_alpha 90.00
_cell_angle_beta 90.00
_cell_angle_gamma 90.00
_symmetry_space_group_name_H-M 'P -4 m 2'
_symmetry_Int_Tables_number 115
_symmetry_space_group_name_Hall 'P -4 -2'
loop_
_atom_site_label
_atom_site_type_symbol
_atom_site_fract_x
_atom_site_fract_y
_atom_site_fract_z
Ca1 Ca 0.0000 0.5000 0.2446
Ga1 Ga 0.0000 0.0000 0.5000
Ni1 Ni 0.0000 0.0000 0.0000
Ni2 Ni 0.0000 0.5000 0.6204
Ni3 Ni 0.5000 0.5000 0.0000
Sn1 Sn 0.0000 0.5000 0.8735
Sn2 Sn 0.5000 0.5000 0.5000
```

---

# 2
A plane-wave DFT calculation with PBE-GGA was carried out for a geometry-optimized CaGaNi2Sn structure.

Properties
DFT total energy   -14.61 eV for the cell shown
Size of the total moment   0.00 μB per cell

CIF file:
```
data_CaGaNi2Sn
_cell_length_a 4.6971
_cell_length_b 4.6971
_cell_length_c 5.7739
_cell_angle_alpha 90.00
_cell_angle_beta 90.00
_cell_angle_gamma 90.00
_symmetry_space_group_name_H-M 'P 4/m m m'
_symmetry_Int_Tables_number 123
_symmetry_space_group_name_Hall '-P 4 2'
loop_
_atom_site_label
_atom_site_type_symbol
_atom_site_fract_x
_atom_site_fract_y
_atom_site_fract_z
Ca1 Ca 0.0000 0.0000 0.0000
Ga1 Ga 0.5000 0.5000 0.5000
Ni1 Ni 0.0000 0.5000 0.0000
Sn1 Sn 0.0000 0.0000 0.5000
```

---

# 3
A plane-wave DFT calculation with PBE-GGA was carried out for a geometry-optimized Sr2CaGaNi structure.

Properties
DFT total energy   -14.58 eV for the cell shown
Size of the total moment   0.00 μB per cell

CIF file:
```
data_Sr2CaGaNi
_cell_length_a 5.8386
_cell_length_b 5.8386
_cell_length_c 4.7390
_cell_angle_alpha 90.00
_cell_angle_beta 90.00
_cell_angle_gamma 90.00
_symmetry_space_group_name_H-M 'P 4/m m m'
_symmetry_Int_Tables_number 123
_symmetry_space_group_name_Hall '-P 4 2'
loop_
_atom_site_label
_atom_site_type_symbol
_atom_site_fract_x
_atom_site_fract_y
_atom_site_fract_z
Sr1 Sr 0.0000 0.5000 0.0000
Ca1 Ca 0.0000 0.0000 0.5000
Ga1 Ga 0.5000 0.5000 0.5000
Ni1 Ni 0.5000 0.5000 0.0000
```

---

# 4
A plane-wave DFT calculation with PBE-GGA was carried out for a geometry-optimized SrCaGaNi structure.

Properties
DFT total energy   -27.45 eV for the cell shown
Size of the total moment   0.00 μB per cell

CIF file:
```
data_SrCaGaNi
_cell_length_a 7.3547
_cell_length_b 4.2506
_cell_length_c 7.9857
_cell_angle_alpha 90.00
_cell_angle_beta 108.06
_cell_angle_gamma 90.00
_symmetry_space_group_name_H-M 'C 1 m 1'
_symmetry_Int_Tables_number 8
_symmetry_space_group_name_Hall 'C -2y'
loop_
_atom_site_label
_atom_site_type_symbol
_atom_site_fract_x
_atom_site_fract_y
_atom_site_fract_z
Sr1 Sr 0.0000 0.0000 0.0000
Ca1 Ca 0.1740 0.0000 0.5173
Ga1 Ga 0.2595 0.5000 0.2763
Ni1 Ni 0.4258 0.0000 0.2760
```

---

# 5
A plane-wave DFT calculation with PBE-GGA was carried out for a geometry-optimized CaTbGaNi structure.

Properties
DFT total energy   -66.69 eV for the cell shown
Size of the total moment   0.00 μB per cell

CIF file:
```
data_CaTbGaNi
_cell_length_a 7.0381
_cell_length_b 7.0381
_cell_length_c 7.0381
_cell_angle_alpha 90.00
_cell_angle_beta 90.00
_cell_angle_gamma 90.00
_symmetry_space_group_name_H-M 'F -4 3 m'
_symmetry_Int_Tables_number 216
_symmetry_space_group_name_Hall 'F -4 2 3'
loop_
_atom_site_label
_atom_site_type_symbol
_atom_site_fract_x
_atom_site_fract_y
_atom_site_fract_z
Ca1 Ca 0.0000 0.0000 0.0000
Tb1 Tb 0.0000 0.0000 0.5000
Ga1 Ga 0.2500 0.2500 0.7500
Ni1 Ni 0.2500 0.2500 0.2500
```

---

# 6
A plane-wave DFT calculation with PBE-GGA was carried out for a geometry-optimized CaGa2NiTe structure.

Properties
Formation energy from raw total energies   -506 meV per atom
Size of the total moment   0.00 μB per cell

CIF file:
```
data_CaGa2NiTe
_cell_length_a 4.6190
_cell_length_b 4.6190
_cell_length_c 5.5028
_cell_angle_alpha 90.00
_cell_angle_beta 90.00
_cell_angle_gamma 90.00
_symmetry_space_group_name_H-M 'P 4/m m m'
_symmetry_Int_Tables_number 123
_symmetry_space_group_name_Hall '-P 4 2'
loop_
_atom_site_label
_atom_site_type_symbol
_atom_site_fract_x
_atom_site_fract_y
_atom_site_fract_z
Ca1 Ca 0.0000 0.0000 0.0000
Ga1 Ga 0.0000 0.5000 0.5000
Ni1 Ni 0.0000 0.0000 0.5000
Te1 Te 0.5000 0.5000 0.0000
```

---

# 7
A plane-wave DFT calculation with PBE-GGA was carried out for a geometry-optimized Ca2GaNiTe structure.

Properties
Formation energy from raw total energies   -605 meV per atom
Size of the total moment   0.00 μB per cell

CIF file:
```
data_Ca2GaNiTe
_cell_length_a 5.3850
_cell_length_b 5.3850
_cell_length_c 4.5234
_cell_angle_alpha 90.00
_cell_angle_beta 90.00
_cell_angle_gamma 90.00
_symmetry_space_group_name_H-M 'P 4/m m m'
_symmetry_Int_Tables_number 123
_symmetry_space_group_name_Hall '-P 4 2'
loop_
_atom_site_label
_atom_site_type_symbol
_atom_site_fract_x
_atom_site_fract_y
_atom_site_fract_z
Ca1 Ca 0.0000 0.5000 0.0000
Ga1 Ga 0.0000 0.0000 0.5000
Ni1 Ni 0.0000 0.0000 0.0000
Te1 Te 0.5000 0.5000 0.5000
```

---

# 8
A plane-wave DFT calculation with PBE-GGA was carried out for a geometry-optimized CaTi2GaNi structure.

Properties
DFT total energy   -22.38 eV for the cell shown
Size of the total moment   0.00 μB per cell

CIF file:
```
data_CaTi2GaNi
_cell_length_a 4.7387
_cell_length_b 4.7387
_cell_length_c 5.3657
_cell_angle_alpha 90.00
_cell_angle_beta 90.00
_cell_angle_gamma 90.00
_symmetry_space_group_name_H-M 'P 4/m m m'
_symmetry_Int_Tables_number 123
_symmetry_space_group_name_Hall '-P 4 2'
loop_
_atom_site_label
_atom_site_type_symbol
_atom_site_fract_x
_atom_site_fract_y
_atom_site_fract_z
Ca1 Ca 0.0000 0.0000 0.0000
Ti1 Ti 0.0000 0.5000 0.5000
Ga1 Ga 0.0000 0.0000 0.5000
Ni1 Ni 0.5000 0.5000 0.0000
```

---

# 9
A plane-wave DFT calculation with PBE-GGA was carried out for a geometry-optimized CaTlGa2Ni structure.

Properties
Excess energy over the best structure of this formula in the dataset   0.0404 eV/atom
Size of the total moment   0.00 μB per cell

CIF file:
```
data_CaTlGa2Ni
_cell_length_a 4.6741
_cell_length_b 4.6741
_cell_length_c 5.0986
_cell_angle_alpha 90.00
_cell_angle_beta 90.00
_cell_angle_gamma 90.00
_symmetry_space_group_name_H-M 'P 4/m m m'
_symmetry_Int_Tables_number 123
_symmetry_space_group_name_Hall '-P 4 2'
loop_
_atom_site_label
_atom_site_type_symbol
_atom_site_fract_x
_atom_site_fract_y
_atom_site_fract_z
Ca1 Ca 0.0000 0.0000 0.0000
Tl1 Tl 0.5000 0.5000 0.0000
Ga1 Ga 0.0000 0.5000 0.5000
Ni1 Ni 0.5000 0.5000 0.5000
```

---

# 10
A plane-wave DFT calculation with PBE-GGA was carried out for a geometry-optimized Ca2TlGaNi structure.

Properties
DFT total energy   -16.47 eV for the cell shown
Size of the total moment   0.00 μB per cell

CIF file:
```
data_Ca2TlGaNi
_cell_length_a 5.4007
_cell_length_b 5.4007
_cell_length_c 4.5780
_cell_angle_alpha 90.00
_cell_angle_beta 90.00
_cell_angle_gamma 90.00
_symmetry_space_group_name_H-M 'P 4/m m m'
_symmetry_Int_Tables_number 123
_symmetry_space_group_name_Hall '-P 4 2'
loop_
_atom_site_label
_atom_site_type_symbol
_atom_site_fract_x
_atom_site_fract_y
_atom_site_fract_z
Ca1 Ca 0.0000 0.5000 0.0000
Tl1 Tl 0.0000 0.0000 0.5000
Ga1 Ga 0.5000 0.5000 0.5000
Ni1 Ni 0.5000 0.5000 0.0000
```

---

# 11
A plane-wave DFT calculation with PBE-GGA was carried out for a geometry-optimized CaTlGa2Ni structure.

Properties
Excess energy over the best structure of this formula in the dataset   0.0000 eV/atom
Size of the total moment   0.00 μB per cell

CIF file:
```
data_CaTlGa2Ni
_cell_length_a 4.6694
_cell_length_b 4.6694
_cell_length_c 5.2731
_cell_angle_alpha 90.00
_cell_angle_beta 90.00
_cell_angle_gamma 90.00
_symmetry_space_group_name_H-M 'P 4/m m m'
_symmetry_Int_Tables_number 123
_symmetry_space_group_name_Hall '-P 4 2'
loop_
_atom_site_label
_atom_site_type_symbol
_atom_site_fract_x
_atom_site_fract_y
_atom_site_fract_z
Ca1 Ca 0.0000 0.0000 0.0000
Tl1 Tl 0.5000 0.5000 0.0000
Ga1 Ga 0.0000 0.5000 0.5000
Ni1 Ni 0.0000 0.0000 0.5000
```

---

# 12
A plane-wave DFT calculation with PBE-GGA was carried out for a geometry-optimized Ca2ZnGa3Ni4 structure.

Properties
DFT total energy   -41.45 eV for the cell shown
Size of the total moment   0.00 μB per cell

CIF file:
```
data_Ca2ZnGa3Ni4
_cell_length_a 4.1227
_cell_length_b 4.1227
_cell_length_c 9.9285
_cell_angle_alpha 90.00
_cell_angle_beta 90.00
_cell_angle_gamma 90.00
_symmetry_space_group_name_H-M 'P -4 m 2'
_symmetry_Int_Tables_number 115
_symmetry_space_group_name_Hall 'P -4 -2'
loop_
_atom_site_label
_atom_site_type_symbol
_atom_site_fract_x
_atom_site_fract_y
_atom_site_fract_z
Ca1 Ca 0.0000 0.5000 0.2469
Zn1 Zn 0.0000 0.0000 0.5000
Ga1 Ga 0.0000 0.5000 0.8750
Ga2 Ga 0.5000 0.5000 0.5000
Ni1 Ni 0.0000 0.0000 0.0000
Ni2 Ni 0.0000 0.5000 0.6341
Ni3 Ni 0.5000 0.5000 0.0000
```

---

# 13
A plane-wave DFT calculation with PBE-GGA was carried out for a geometry-optimized Ca2Zn4Ga3Ni structure.

Properties
DFT total energy   -26.83 eV for the cell shown
Size of the total moment   0.00 μB per cell

CIF file:
```
data_Ca2Zn4Ga3Ni
_cell_length_a 4.2331
_cell_length_b 4.2331
_cell_length_c 10.5178
_cell_angle_alpha 90.00
_cell_angle_beta 90.00
_cell_angle_gamma 90.00
_symmetry_space_group_name_H-M 'P -4 m 2'
_symmetry_Int_Tables_number 115
_symmetry_space_group_name_Hall 'P -4 -2'
loop_
_atom_site_label
_atom_site_type_symbol
_atom_site_fract_x
_atom_site_fract_y
_atom_site_fract_z
Ca1 Ca 0.0000 0.5000 0.2425
Zn1 Zn 0.0000 0.0000 0.5000
Zn2 Zn 0.0000 0.5000 0.8761
Zn3 Zn 0.5000 0.5000 0.5000
Ga1 Ga 0.0000 0.0000 0.0000
Ga2 Ga 0.0000 0.5000 0.6396
Ni1 Ni 0.5000 0.5000 0.0000
```

---

# 14
A plane-wave DFT calculation with PBE-GGA was carried out for a geometry-optimized CaZnGa2Ni structure.

Properties
DFT total energy   -16.56 eV for the cell shown
Size of the total moment   0.00 μB per cell

CIF file:
```
data_CaZnGa2Ni
_cell_length_a 4.5905
_cell_length_b 4.5905
_cell_length_c 4.6560
_cell_angle_alpha 90.00
_cell_angle_beta 90.00
_cell_angle_gamma 90.00
_symmetry_space_group_name_H-M 'P 4/m m m'
_symmetry_Int_Tables_number 123
_symmetry_space_group_name_Hall '-P 4 2'
loop_
_atom_site_label
_atom_site_type_symbol
_atom_site_fract_x
_atom_site_fract_y
_atom_site_fract_z
Ca1 Ca 0.0000 0.0000 0.0000
Zn1 Zn 0.5000 0.5000 0.0000
Ga1 Ga 0.0000 0.5000 0.5000
Ni1 Ni 0.5000 0.5000 0.5000
```

---

# 15
A plane-wave DFT calculation with PBE-GGA was carried out for a geometry-optimized CaZn2GaNi2 structure.

Properties
DFT total energy   -19.72 eV for the cell shown
Size of the total moment   0.00 μB per cell

CIF file:
```
data_CaZn2GaNi2
_cell_length_a 4.4437
_cell_length_b 4.4437
_cell_length_c 5.5920
_cell_angle_alpha 90.00
_cell_angle_beta 90.00
_cell_angle_gamma 90.00
_symmetry_space_group_name_H-M 'P 4/m m m'
_symmetry_Int_Tables_number 123
_symmetry_space_group_name_Hall '-P 4 2'
loop_
_atom_site_label
_atom_site_type_symbol
_atom_site_fract_x
_atom_site_fract_y
_atom_site_fract_z
Ca1 Ca 0.0000 0.0000 0.0000
Zn1 Zn 0.5000 0.5000 0.2540
Ga1 Ga 0.0000 0.0000 0.5000
Ni1 Ni 0.0000 0.5000 0.5000
```

---

# 16
A plane-wave DFT calculation with PBE-GGA was carried out for a geometry-optimized CaZn2GaNi structure.

Properties
DFT total energy   -14.57 eV for the cell shown
Size of the total moment   0.00 μB per cell

CIF file:
```
data_CaZn2GaNi
_cell_length_a 4.6490
_cell_length_b 4.6490
_cell_length_c 4.5455
_cell_angle_alpha 90.00
_cell_angle_beta 90.00
_cell_angle_gamma 90.00
_symmetry_space_group_name_H-M 'P 4/m m m'
_symmetry_Int_Tables_number 123
_symmetry_space_group_name_Hall '-P 4 2'
loop_
_atom_site_label
_atom_site_type_symbol
_atom_site_fract_x
_atom_site_fract_y
_atom_site_fract_z
Ca1 Ca 0.0000 0.0000 0.0000
Zn1 Zn 0.0000 0.5000 0.5000
Ga1 Ga 0.5000 0.5000 0.0000
Ni1 Ni 0.5000 0.5000 0.5000
```

---

# 17
A plane-wave DFT calculation with PBE-GGA was carried out for a geometry-optimized Ca2ZnGa2Ni5 structure.

Properties
DFT total energy   -84.63 eV for the cell shown
Size of the total moment   0.00 μB per cell

CIF file:
```
data_Ca2ZnGa2Ni5
_cell_length_a 9.8037
_cell_length_b 9.8037
_cell_length_c 3.2125
_cell_angle_alpha 90.00
_cell_angle_beta 90.00
_cell_angle_gamma 90.00
_symmetry_space_group_name_H-M 'P 4/m b m'
_symmetry_Int_Tables_number 127
_symmetry_space_group_name_Hall '-P 4 2ab'
loop_
_atom_site_label
_atom_site_type_symbol
_atom_site_fract_x
_atom_site_fract_y
_atom_site_fract_z
Ca1 Ca 0.1733 0.3267 0.0000
Zn1 Zn 0.0000 0.0000 0.0000
Ga1 Ga 0.1270 0.6270 0.0000
Ni1 Ni 0.0000 0.5000 0.5000
Ni2 Ni 0.0584 0.8051 0.5000
```

---

# 18
A plane-wave DFT calculation with PBE-GGA was carried out for a geometry-optimized CaNpGa4 structure.

Properties
DFT total energy   -112.82 eV for the cell shown
Size of the total moment   18.34 μB per cell

CIF file:
```
data_CaNpGa4
_cell_length_a 7.8656
_cell_length_b 7.8656
_cell_length_c 7.8656
_cell_angle_alpha 90.00
_cell_angle_beta 90.00
_cell_angle_gamma 90.00
_symmetry_space_group_name_H-M 'F -4 3 m'
_symmetry_Int_Tables_number 216
_symmetry_space_group_name_Hall 'F -4 2 3'
loop_
_atom_site_label
_atom_site_type_symbol
_atom_site_fract_x
_atom_site_fract_y
_atom_site_fract_z
Ca1 Ca 0.0000 0.0000 0.0000
Np1 Np 0.2500 0.2500 0.7500
Ga1 Ga 0.1243 0.1243 0.3757
```

---

# 19
A plane-wave DFT calculation with PBE-GGA was carried out for a geometry-optimized CaNp2Ga9 structure.

Properties
DFT total energy   -57.92 eV for the cell shown
Size of the total moment   7.78 μB per cell

CIF file:
```
data_CaNp2Ga9
_cell_length_a 4.2818
_cell_length_b 4.2818
_cell_length_c 12.8756
_cell_angle_alpha 90.00
_cell_angle_beta 90.00
_cell_angle_gamma 90.00
_symmetry_space_group_name_H-M 'P 4/m m m'
_symmetry_Int_Tables_number 123
_symmetry_space_group_name_Hall '-P 4 2'
loop_
_atom_site_label
_atom_site_type_symbol
_atom_site_fract_x
_atom_site_fract_y
_atom_site_fract_z
Ca1 Ca 0.0000 0.0000 0.0000
Np1 Np 0.0000 0.0000 0.3338
Ga1 Ga 0.0000 0.5000 0.1698
Ga2 Ga 0.0000 0.5000 0.5000
Ga3 Ga 0.5000 0.5000 0.0000
Ga4 Ga 0.5000 0.5000 0.3362
```

---

# 20
A plane-wave DFT calculation with PBE-GGA was carried out for a geometry-optimized CaNpGa6 structure.

Properties
DFT total energy   -70.27 eV for the cell shown
Size of the total moment   8.20 μB per cell

CIF file:
```
data_CaNpGa6
_cell_length_a 8.5594
_cell_length_b 8.5940
_cell_length_c 4.3185
_cell_angle_alpha 90.00
_cell_angle_beta 90.00
_cell_angle_gamma 90.00
_symmetry_space_group_name_H-M 'C m m m'
_symmetry_Int_Tables_number 65
_symmetry_space_group_name_Hall '-C 2 2'
loop_
_atom_site_label
_atom_site_type_symbol
_atom_site_fract_x
_atom_site_fract_y
_atom_site_fract_z
Ca1 Ca 0.0000 0.0000 0.0000
Np1 Np 0.0000 0.5000 0.0000
Ga1 Ga 0.0000 0.2543 0.5000
Ga2 Ga 0.2455 0.5000 0.5000
Ga3 Ga 0.2500 0.2500 0.0000
```